A plane-wave DFT calculation with GGA-PBE was carried out for crystalline Ca2Ga4Rh5 at its relaxed geometry.

a b c (Å): 5.802 9.751 14.531
angles (deg): 90.00 90.00 90.00
Space group Fmmm (No. 69)
Symmetry-distinct sites (fractional):
1 Ca 0.000 0.000 0.126 [8 per cell]
2 Ga 0.000 0.157 0.369 [16 per cell]
3 Rh 0.000 0.000 0.500 [4 per cell]
4 Rh 0.250 0.250 0.000 [8 per cell]
5 Rh 0.250 0.250 0.250 [8 per cell]

Output
The value obtained for the spin magnetization is 0.000 μB per atom. As for the density: 7.1 g/cm³. As for the formation energy: -0.632 eV per atom.


A plane-wave DFT calculation with GGA-PBE was carried out for crystalline Na3Zr2PaSe6 at its relaxed geometry.

a b c (Å): 6.736 11.677 7.610
angles (deg): 90.00 107.19 90.00
Space group C2/m (No. 12)
Symmetry-distinct sites (fractional):
1 Na 0.000 0.000 0.000 [2 per cell]
2 Na 0.000 0.335 0.000 [4 per cell]
3 Zr 0.000 0.167 0.500 [4 per cell]
4 Pa 0.000 0.500 0.500 [2 per cell]
5 Se 0.236 0.000 0.730 [4 per cell]
6 Se 0.247 0.330 0.731 [8 per cell]

Output
The uncorrected formation energy is -1.305 eV per atom. The value obtained for the spin magnetization is 0.069 μB per atom. As for the density: 5.6 g/cm³.


A plane-wave DFT calculation with GGA-PBE was carried out for crystalline BaRe2AgSn at its relaxed geometry.

a b c (Å): 4.985 4.985 6.127
angles (deg): 90.00 90.00 90.00
Space group P4/mmm (No. 123)
Symmetry-distinct sites (fractional):
1 Ba 0.000 0.000 0.000 [1 per cell]
2 Re 0.000 0.500 0.500 [2 per cell]
3 Ag 0.500 0.500 0.000 [1 per cell]
4 Sn 0.000 0.000 0.500 [1 per cell]

Output
The value obtained for the spin magnetization is 0.000 μB per atom. As for the density: 8.0 g/cm³. As for the formation energy: 1.954 eV per atom.


A plane-wave DFT calculation with GGA-PBE was carried out for crystalline Na2Ag2Hg at its relaxed geometry.

a b c (Å): 9.814 5.862 8.802
angles (deg): 90.00 106.14 90.00
Space group C2/c (No. 15)
Symmetry-distinct sites (fractional):
1 Na 0.153 0.135 0.154 [8 per cell]
2 Ag 0.131 0.372 0.501 [8 per cell]
3 Hg 0.000 0.307 0.750 [4 per cell]

Output
The energy above the most stable polymorph in this dataset is 0.000 eV per formula unit. The value obtained for the spin magnetization is 0.000 μB per atom. As for the density: 6.3 g/cm³. As for the formation energy: -0.087 eV per atom.


A plane-wave DFT calculation with GGA-PBE was carried out for crystalline Mg7Ir3 at its relaxed geometry.

a b c (Å): 9.253 9.253 9.253
angles (deg): 90.00 90.00 90.00
Space group Im-3m (No. 229)
Symmetry-distinct sites (fractional):
1 Mg 0.000 0.250 0.500 [12 per cell]
2 Mg 0.156 0.156 0.156 [16 per cell]
3 Ir 0.000 0.000 0.352 [12 per cell]

Output
The energy above the most stable polymorph in this dataset is 0.000 eV per formula unit. The value obtained for the spin magnetization is 0.000 μB per atom. As for the density: 6.3 g/cm³. As for the formation energy: -0.238 eV per atom.


A plane-wave DFT calculation with GGA-PBE was carried out for crystalline ZnTe2Os at its relaxed geometry.

a b c (Å): 3.122 3.122 9.338
angles (deg): 90.00 90.00 90.00
Space group P4mm (No. 99)
Symmetry-distinct sites (fractional):
1 Zn 0.000 0.000 0.000 [1 per cell]
2 Te 0.000 0.000 0.345 [1 per cell]
3 Te 0.500 0.500 0.713 [1 per cell]
4 Os 0.500 0.500 0.178 [1 per cell]

Output
The uncorrected formation energy is 0.277 eV per atom. The value obtained for the spin magnetization is 0.000 μB per atom. As for the density: 9.3 g/cm³.


A plane-wave DFT calculation with GGA-PBE was carried out for crystalline Tb3Te2As at its relaxed geometry.

a b c (Å): 7.413 12.815 7.527
angles (deg): 90.00 109.14 90.00
Space group C2/m (No. 12)
Symmetry-distinct sites (fractional):
1 Tb 0.219 0.000 0.220 [4 per cell]
2 Tb 0.247 0.176 0.775 [8 per cell]
3 Te 0.000 0.000 0.500 [2 per cell]
4 Te 0.000 0.340 0.500 [4 per cell]
5 Te 0.000 0.500 0.000 [2 per cell]
6 As 0.000 0.168 0.000 [4 per cell]

Output
The energy above the most stable polymorph in this dataset is 0.000 eV per formula unit. The uncorrected formation energy is -1.452 eV per atom. The value obtained for the spin magnetization is 0.000 μB per atom. As for the density: 7.9 g/cm³.


A plane-wave DFT calculation with GGA-PBE was carried out for crystalline Dy3Tm2S4 at its relaxed geometry.

a b c (Å): 3.8204 3.8204 15.8832
angles (deg): 90.00 90.00 120.00
Space group P-3m1 (No. 164)
Symmetry-distinct sites (fractional):
1 Dy 0.0000 0.0000 0.0000 [1 per cell]
2 Dy 0.3333 0.6667 0.5900 [2 per cell]
3 Tm 0.3333 0.6667 0.2048 [2 per cell]
4 S 0.0000 0.0000 0.3025 [2 per cell]
5 S 0.3333 0.6667 0.8954 [2 per cell]

Output
The uncorrected formation energy is -1.735 eV per atom. The value obtained for the spin magnetization is 0.000 μB per atom. As for the density: 7.9 g/cm³.


A plane-wave DFT calculation with GGA-PBE was carried out for crystalline CsSn2Au at its relaxed geometry.

a b c (Å): 4.549 7.959 7.950
angles (deg): 90.00 90.00 90.00
Space group Pmmn (No. 59, origin choice 2)
Symmetry-distinct sites (fractional):
1 Cs 0.250 0.250 0.110 [2 per cell]
2 Sn 0.250 0.053 0.645 [4 per cell]
3 Au 0.250 0.750 0.451 [2 per cell]

Output
The value obtained for the spin magnetization is 0.000 μB per atom. As for the density: 6.5 g/cm³. As for the formation energy: -0.300 eV per atom.


A plane-wave DFT calculation with GGA-PBE was carried out for crystalline Tb2CeRu3 at its relaxed geometry.

a b c (Å): 4.860 14.467 6.870
angles (deg): 90.00 90.00 90.00
Space group Cmmm (No. 65)
Symmetry-distinct sites (fractional):
1 Tb 0.000 0.000 0.000 [2 per cell]
2 Tb 0.000 0.000 0.500 [2 per cell]
3 Tb 0.000 0.334 0.000 [4 per cell]
4 Ce 0.000 0.335 0.500 [4 per cell]
5 Ru 0.000 0.170 0.264 [8 per cell]
6 Ru 0.000 0.500 0.260 [4 per cell]

Output
The energy above the most stable polymorph in this dataset is 0.000 eV per formula unit. The value obtained for the spin magnetization is 0.000 μB per atom. As for the density: 10.5 g/cm³. As for the formation energy: -0.359 eV per atom.


A plane-wave DFT calculation with GGA-PBE was carried out for crystalline RuWSeBr2 at its relaxed geometry.

a b c (Å): 5.246 5.246 4.836
angles (deg): 90.00 90.00 90.00
Space group P4/mmm (No. 123)
Symmetry-distinct sites (fractional):
1 Ru 0.000 0.000 0.000 [1 per cell]
2 W 0.500 0.500 0.500 [1 per cell]
3 Se 0.500 0.500 0.000 [1 per cell]
4 Br 0.000 0.500 0.500 [2 per cell]

Output
The energy above the most stable polymorph in this dataset is 0.000 eV per formula unit. The uncorrected formation energy is 1.148 eV per atom. The value obtained for the spin magnetization is 0.970 μB per atom. As for the density: 6.5 g/cm³.


A plane-wave DFT calculation with GGA-PBE was carried out for crystalline Ba3Na2Sr8 at its relaxed geometry.

a b c (Å): 9.095 6.460 12.468
angles (deg): 90.00 102.86 90.00
Space group P2/m (No. 10)
Symmetry-distinct sites (fractional):
1 Ba 0.000 0.000 0.000 [1 per cell]
2 Ba 0.267 0.500 0.921 [2 per cell]
3 Na 0.336 0.000 0.434 [2 per cell]
4 Sr 0.070 0.000 0.673 [2 per cell]
5 Sr 0.200 0.500 0.247 [2 per cell]
6 Sr 0.318 0.500 0.593 [2 per cell]
7 Sr 0.473 0.000 0.169 [2 per cell]

Output
The value obtained for the spin magnetization is 0.000 μB per atom. As for the density: 2.7 g/cm³. As for the formation energy: 0.047 eV per atom.


A plane-wave DFT calculation with GGA-PBE was carried out for crystalline BaCaAg at its relaxed geometry.

a b c (Å): 7.864 7.864 7.864
angles (deg): 90.00 90.00 90.00
Space group F-43m (No. 216)
Symmetry-distinct sites (fractional):
1 Ba 0.000 0.000 0.000 [4 per cell]
2 Ca 0.000 0.000 0.500 [4 per cell]
3 Ag 0.250 0.250 0.250 [4 per cell]

Output
The energy above the most stable polymorph in this dataset is 0.297 eV per formula unit. The value obtained for the spin magnetization is 0.000 μB per atom. As for the density: 3.9 g/cm³. As for the formation energy: -0.097 eV per atom.


A plane-wave DFT calculation with GGA-PBE was carried out for crystalline MnSbTe2 at its relaxed geometry.

a b c (Å): 3.888 4.780 13.067
angles (deg): 90.00 90.00 90.00
Space group Immm (No. 71)
Symmetry-distinct sites (fractional):
1 Mn 0.000 0.000 0.000 [2 per cell]
2 Sb 0.000 0.000 0.500 [2 per cell]
3 Te 0.000 0.500 0.348 [4 per cell]

Output
The uncorrected formation energy is 0.027 eV per atom. The value obtained for the spin magnetization is 1.006 μB per atom. As for the density: 5.9 g/cm³.


A plane-wave DFT calculation with GGA-PBE was carried out for crystalline TlAgHPd2 at its relaxed geometry.

a b c (Å): 4.140 4.140 4.282
angles (deg): 90.00 90.00 90.00
Space group P4/mmm (No. 123)
Symmetry-distinct sites (fractional):
1 Tl 0.000 0.000 0.000 [1 per cell]
2 Ag 0.500 0.500 0.000 [1 per cell]
3 H 0.500 0.500 0.500 [1 per cell]
4 Pd 0.000 0.500 0.500 [2 per cell]

Output
The energy above the most stable polymorph in this dataset is 0.000 eV per formula unit. The value obtained for the spin magnetization is 0.000 μB per atom. As for the density: 11.9 g/cm³.


A plane-wave DFT calculation with GGA-PBE was carried out for crystalline Li2SiPt at its relaxed geometry.

a b c (Å): 8.540 3.026 4.584
angles (deg): 90.00 109.35 90.00
Space group Cm (No. 8)
Symmetry-distinct sites (fractional):
1 Li 0.000 0.000 0.000 [2 per cell]
2 Li 0.240 0.000 0.840 [2 per cell]
3 Si 0.490 0.000 0.464 [2 per cell]
4 Pt 0.258 0.500 0.368 [2 per cell]

Output
The uncorrected formation energy is -0.585 eV per atom. The value obtained for the spin magnetization is 0.000 μB per atom. As for the density: 7.0 g/cm³.


A plane-wave DFT calculation with GGA-PBE was carried out for crystalline CrSb2Pb at its relaxed geometry.

a b c (Å): 3.301 5.498 11.195
angles (deg): 90.00 90.00 90.00
Space group Immm (No. 71)
Symmetry-distinct sites (fractional):
1 Cr 0.000 0.000 0.000 [2 per cell]
2 Sb 0.000 0.500 0.294 [4 per cell]
3 Pb 0.000 0.000 0.500 [2 per cell]

Output
The uncorrected formation energy is 0.302 eV per atom. The value obtained for the spin magnetization is 0.890 μB per atom. As for the density: 8.2 g/cm³.


A plane-wave DFT calculation with GGA-PBE was carried out for crystalline Th3Bi at its relaxed geometry.

a b c (Å): 3.611 5.728 6.077
angles (deg): 90.00 90.00 90.00
Space group Pmm2 (No. 25)
Symmetry-distinct sites (fractional):
1 Th 0.000 0.000 0.000 [1 per cell]
2 Th 0.000 0.500 0.387 [1 per cell]
3 Th 0.500 0.000 0.515 [1 per cell]
4 Bi 0.500 0.500 0.877 [1 per cell]

Output
The value obtained for the spin magnetization is 0.000 μB per atom. As for the density: 12.0 g/cm³. As for the formation energy: -0.168 eV per atom.


A plane-wave DFT calculation with GGA-PBE was carried out for crystalline LuPaAlIn at its relaxed geometry.

a b c (Å): 7.308 7.308 7.308
angles (deg): 90.00 90.00 90.00
Space group F-43m (No. 216)
Symmetry-distinct sites (fractional):
1 Lu 0.000 0.000 0.000 [4 per cell]
2 Pa 0.000 0.000 0.500 [4 per cell]
3 Al 0.250 0.250 0.750 [4 per cell]
4 In 0.250 0.250 0.250 [4 per cell]

Output
The value obtained for the spin magnetization is 0.161 μB per atom. As for the density: 9.3 g/cm³. As for the formation energy: -0.071 eV per atom.


A plane-wave DFT calculation with GGA-PBE was carried out for crystalline La5Pb2N2 at its relaxed geometry.

a b c (Å): 5.036 5.036 10.190
angles (deg): 90.00 90.00 90.00
Space group P4/mmm (No. 123)
Symmetry-distinct sites (fractional):
1 La 0.000 0.000 0.000 [1 per cell]
2 La 0.000 0.500 0.281 [4 per cell]
3 Pb 0.500 0.500 0.000 [1 per cell]
4 Pb 0.500 0.500 0.500 [1 per cell]
5 N 0.000 0.000 0.237 [2 per cell]

Output
The uncorrected formation energy is -0.923 eV per atom. The value obtained for the spin magnetization is 0.000 μB per atom. As for the density: 7.3 g/cm³.


A plane-wave DFT calculation with GGA-PBE was carried out for crystalline VP at its relaxed geometry.

a b c (Å): 6.026 6.051 6.084
angles (deg): 90.00 90.00 90.00
Space group P2_12_12_1 (No. 19)
Symmetry-distinct sites (fractional):
1 V 0.060 0.171 0.254 [4 per cell]
2 V 0.186 0.503 0.573 [4 per cell]
3 P 0.070 0.716 0.879 [4 per cell]
4 P 0.217 0.157 0.880 [4 per cell]

Output
The value obtained for the spin magnetization is 0.000 μB per atom. As for the density: 4.9 g/cm³. As for the formation energy: -0.530 eV per atom.


A plane-wave DFT calculation with GGA-PBE was carried out for crystalline AgTe2Os at its relaxed geometry.

a b c (Å): 3.179 3.179 9.170
angles (deg): 90.00 90.00 90.00
Space group P4mm (No. 99)
Symmetry-distinct sites (fractional):
1 Ag 0.000 0.000 0.000 [1 per cell]
2 Te 0.000 0.000 0.373 [1 per cell]
3 Te 0.500 0.500 0.755 [1 per cell]
4 Os 0.500 0.500 0.216 [1 per cell]

Output
The energy above the most stable polymorph in this dataset is 0.667 eV per formula unit. The uncorrected formation energy is 0.389 eV per atom. The value obtained for the spin magnetization is 0.000 μB per atom. As for the density: 9.9 g/cm³.


A plane-wave DFT calculation with GGA-PBE was carried out for crystalline ThTl2Br4F2 at its relaxed geometry.

a b c (Å): 12.539 8.189 5.826
angles (deg): 90.00 99.17 90.00
Space group C2/m (No. 12)
Symmetry-distinct sites (fractional):
1 Th 0.000 0.000 0.000 [2 per cell]
2 Tl 0.192 0.500 0.317 [4 per cell]
3 Br 0.114 0.255 0.788 [8 per cell]
4 F 0.131 0.000 0.287 [4 per cell]

Output
The uncorrected formation energy is -1.961 eV per atom. The value obtained for the spin magnetization is 0.000 μB per atom. As for the density: 5.6 g/cm³.


A plane-wave DFT calculation with GGA-PBE was carried out for crystalline CdIn2Co2 at its relaxed geometry.

a b c (Å): 3.308 3.308 17.861
angles (deg): 90.00 90.00 90.00
Space group I4/mmm (No. 139)
Symmetry-distinct sites (fractional):
1 Cd 0.000 0.000 0.000 [2 per cell]
2 In 0.000 0.000 0.374 [4 per cell]
3 Co 0.000 0.500 0.250 [4 per cell]

Output
The energy above the most stable polymorph in this dataset is 0.411 eV per formula unit. The value obtained for the spin magnetization is 0.626 μB per atom. As for the density: 7.8 g/cm³. As for the formation energy: 0.234 eV per atom.